Record 1
## KYRu2 (GGA-PBE)

Data for KYRu2 after structural relaxation.

POSCAR file:
```
KYRu2
1.0
2.979 -4.746 0.000
2.979 4.746 0.000
-1.104 0.000 2.802
K Y Ru
1 1 2
direct
0.000 0.000 0.000
0.500 0.500 0.000
0.000 0.500 0.500
0.500 0.000 0.500
```

energy above the lowest structure with this stoichiometry = 657.2 meV/atom
SG = No. 12
ΔH_f (0 K) = 0.980 eV/atom
crystal system = monoclinic
VASP energy = -22.2 eV for the cell shown

Record 2
## Ru3Pb2O8 (GGA-PBE)

Data for Ru3Pb2O8 after structural relaxation.

POSCAR file:
```
Ru3Pb2O8
1.0
5.860 -3.185 0.000
5.860 3.185 0.000
-1.868 0.000 4.979
Ru Pb O
3 2 8
direct
0.000 0.000 0.000
0.254 0.746 0.500
0.746 0.254 0.500
0.288 0.288 0.837
0.712 0.712 0.163
0.092 0.092 0.405
0.115 0.685 0.110
0.315 0.885 0.890
0.407 0.407 0.542
0.593 0.593 0.458
0.685 0.115 0.110
0.885 0.315 0.890
0.908 0.908 0.595
```

SG = No. 12
formation energy from raw total energies = -0.954 eV per atom
crystal system = monoclinic
VASP energy = -87.3 eV for the cell shown

Record 3
## BeAs2Ir (GGA-PBE)

Data for BeAs2Ir after structural relaxation.

POSCAR file:
```
BeAs2Ir
1.0
2.876 0.000 0.000
0.000 3.113 0.000
0.000 0.000 7.434
Be As Ir
1 2 1
direct
0.000 0.000 0.000
0.000 0.000 0.377
0.500 0.500 0.809
0.500 0.500 0.162
```

SG = No. 25
ΔH_f (0 K) = -0.051 eV/atom
crystal system = orthorhombic
VASP energy = -22.1 eV for the cell shown